[1]
The following is a DFT calculation (PBE-GGA) of a relaxed MgGaI3 crystal.

Unit cell a=4.5292 b=7.5422 c=14.4634 alpha=114.68 beta=90.00 gamma=90.00
Closest atoms and distances in Å follow each position.
Fractional positions:
Mg 0.2500 0.1724 0.7337  4 I 2.70-2.83
Mg 0.7500 0.8276 0.2663  4 I 2.70-2.83
Ga 0.2500 0.1729 0.1599  6 I 3.28-3.43
Ga 0.7500 0.8271 0.8401  6 I 3.28-3.43
I 0.2500 0.1882 0.9259  1 Mg 2.73
I 0.7500 0.8118 0.0741  1 Mg 2.73
I 0.2500 0.0551 0.3610  2 Mg 2.83
I 0.7500 0.9449 0.6390  2 Mg 2.83
I 0.2500 0.5071 0.7076  1 Mg 2.70
I 0.7500 0.4929 0.2924  1 Mg 2.70

Calculated values
* crystal system: monoclinic
* formation energy (no corrections): -3.60 eV per formula unit
* mass density: 3.51 g cm⁻³
* E: -2.575 eV/atom
* size of the total moment: 0.00 μB per atom
* offset from the most stable computed form: 0 meV/atom

=====

[2]
The following is a DFT calculation (PBE-GGA) of a relaxed Mg2GaI crystal.

Unit cell a=5.2299 b=5.2299 c=5.2299 alpha=60.00 beta=60.00 gamma=60.00
Closest atoms and distances in Å follow each position.
Fractional positions:
I 0.5000 0.5000 0.5000  8 Mg 3.20
Mg 0.2500 0.2500 0.2500  4 I 3.20, 4 Ga 3.20
Mg 0.7500 0.7500 0.7500  4 I 3.20, 4 Ga 3.20
Ga 0.0000 0.0000 0.0000  8 Mg 3.20

Calculated values
* crystal system: cubic
* formation energy (no corrections): 0.63 eV per formula unit
* mass density: 4.03 g cm⁻³
* E: -1.785 eV/atom
* size of the total moment: 0.00 μB per atom
* offset from the most stable computed form: 174 meV/atom

=====

[3]
The following is a DFT calculation (PBE-GGA) of a relaxed MgGa2I4 crystal.

Unit cell a=4.3665 b=7.8095 c=8.2413 alpha=74.93 beta=74.64 gamma=73.77
Closest atoms and distances in Å follow each position.
Fractional positions:
Mg 0.0000 0.0000 0.0000  6 I 2.89-3.00
Ga 0.4212 0.4595 0.6981  3 I 3.07-3.09, 1 Ga 3.08
Ga 0.5788 0.5405 0.3019  3 I 3.07-3.09, 1 Ga 3.08
I 0.0837 0.1877 0.6449  1 Mg 2.89, 2 Ga 3.07
I 0.9163 0.8123 0.3551  1 Mg 2.89, 2 Ga 3.07
I 0.3392 0.2471 0.0745  2 Mg 3.00, 1 Ga 3.09
I 0.6608 0.7529 0.9255  2 Mg 3.00, 1 Ga 3.09

Calculated values
* crystal system: monoclinic
* formation energy (no corrections): -4.30 eV per formula unit
* mass density: 4.37 g cm⁻³
* E: -2.593 eV/atom
* size of the total moment: 0.00 μB per atom
* offset from the most stable computed form: 0 meV/atom

=====

[4]
The following is a DFT calculation (PBE-GGA) of a relaxed MgGaI3 crystal.

Unit cell a=8.8447 b=7.7208 c=11.1131 alpha=62.85 beta=129.44 gamma=127.61
Closest atoms and distances in Å follow each position.
Fractional positions:
Mg 0.2172 0.2531 0.9147  5 I 2.83-2.92
Mg 0.7828 0.7469 0.0853  5 I 2.83-2.92
Ga 0.3292 0.8110 0.5724  3 I 3.01-3.21, 1 Ga 3.37
Ga 0.6708 0.1890 0.4276  3 I 3.01-3.21, 1 Ga 3.37
I 0.1882 0.3286 0.6204  1 Mg 2.91, 2 Ga 3.01-3.21
I 0.6481 0.2850 0.1129  2 Mg 2.85-2.92, 1 Ga 3.12
I 0.1496 0.1684 0.1658  2 Mg 2.83-2.92
I 0.8118 0.6714 0.3796  1 Mg 2.91, 2 Ga 3.01-3.21
I 0.8504 0.8316 0.8342  2 Mg 2.83-2.92
I 0.3519 0.7150 0.8871  2 Mg 2.85-2.92, 1 Ga 3.12

Calculated values
* crystal system: triclinic
* formation energy (no corrections): -3.54 eV per formula unit
* mass density: 3.42 g cm⁻³
* E: -2.563 eV/atom
* size of the total moment: 0.00 μB per atom
* offset from the most stable computed form: 12 meV/atom

=====

[5]
The following is a DFT calculation (PBE-GGA) of a relaxed MgGaI crystal.

Unit cell a=3.9529 b=3.9554 c=12.5076 alpha=90.00 beta=90.00 gamma=119.98
Closest atoms and distances in Å follow each position.
Fractional positions:
Ga 0.4442 0.8884 0.0000  6 Mg 2.88
Ga 0.4447 0.8894 0.5000  6 I 3.31
I 0.7778 0.5557 0.3081  3 Mg 3.10, 3 Ga 3.31
I 0.7778 0.5557 0.6919  3 Mg 3.10, 3 Ga 3.31
Mg 0.1110 0.2220 0.8598  3 Ga 2.88, 3 I 3.10
Mg 0.1110 0.2220 0.1402  3 Ga 2.88, 3 I 3.10

Calculated values
* crystal system: hexagonal
* formation energy (no corrections): -0.75 eV per formula unit
* mass density: 4.33 g cm⁻³
* E: -2.308 eV/atom
* size of the total moment: 0.00 μB per atom

=====

[6]
The following is a DFT calculation (PBE-GGA) of a relaxed Mg2Ga2I7 crystal.

Unit cell a=7.5337 b=8.3581 c=8.3581 alpha=111.24 beta=92.96 gamma=92.96
Closest atoms and distances in Å follow each position.
Fractional positions:
Mg 0.8901 0.2816 0.2816  5 I 2.79-3.08
Mg 0.1099 0.7184 0.7184  5 I 2.79-3.08
Ga 0.5000 0.3043 0.6957  6 I 3.09-3.38
Ga 0.5000 0.6957 0.3043  6 I 3.09-3.38
I 0.2799 0.9391 0.5808  1 Mg 2.79, 1 Ga 3.09
I 0.7201 0.4192 0.0609  1 Mg 2.79, 1 Ga 3.09
I 0.7201 0.0609 0.4192  1 Mg 2.79, 1 Ga 3.09
I 0.2799 0.5808 0.9391  1 Mg 2.79, 1 Ga 3.09
I 0.0000 0.0000 0.0000  2 Mg 2.86
I 0.7605 0.5816 0.5816  2 Mg 2.82-3.08
I 0.2395 0.4184 0.4184  2 Mg 2.82-3.08

Calculated values
* crystal system: monoclinic
* formation energy (no corrections): -6.70 eV per formula unit
* mass density: 3.66 g cm⁻³
* E: -2.436 eV/atom
* size of the total moment: 0.00 μB per atom

=====

[7]
The following is a DFT calculation (PBE-GGA) of a relaxed Mg2GaI crystal.

Unit cell a=7.1583 b=7.1583 c=7.3350 alpha=60.79 beta=60.79 gamma=90.00
Closest atoms and distances in Å follow each position.
Fractional positions:
I 0.0000 0.0000 0.0000  4 Mg 3.03
I 0.7500 0.2500 0.5000  4 Mg 3.03
Mg 0.5884 0.1250 0.2500  2 Ga 2.70
Mg 0.1616 0.6250 0.2500  2 Ga 2.70
Mg 0.3750 0.4116 0.7500  2 Ga 2.70
Mg 0.8750 0.8384 0.7500  2 Ga 2.70
Ga 0.5000 0.5000 0.0000  4 Mg 2.70
Ga 0.2500 0.7500 0.5000  4 Mg 2.70

Calculated values
* crystal system: tetragonal
* formation energy (no corrections): -0.07 eV per formula unit
* mass density: 2.99 g cm⁻³
* E: -1.960 eV/atom
* size of the total moment: 0.00 μB per atom
* offset from the most stable computed form: 0 meV/atom

=====

[8]
The following is a DFT calculation (PBE-GGA) of a relaxed MgGa2I4 crystal.

Unit cell a=8.0165 b=8.0165 c=8.0690 alpha=119.78 beta=119.78 gamma=90.00
Closest atoms and distances in Å follow each position.
Fractional positions:
Mg 0.5000 0.5000 0.0000  4 I 2.76
Ga 0.7500 0.2500 0.5000  4 I 3.23
Ga 0.2500 0.7500 0.5000  4 I 3.23
I 0.8312 0.4095 0.2407  1 Mg 2.76
I 0.4095 0.8312 0.2407  1 Mg 2.76
I 0.5905 0.5905 0.7593  1 Mg 2.76
I 0.1688 0.1688 0.7593  1 Mg 2.76

Calculated values
* crystal system: tetragonal
* formation energy (no corrections): -4.00 eV per formula unit
* mass density: 3.02 g cm⁻³
* E: -2.550 eV/atom
* size of the total moment: 0.00 μB per atom
* offset from the most stable computed form: 43 meV/atom

=====

[9]
The following is a DFT calculation (PBE-GGA) of a relaxed MgGa3I crystal.

Unit cell a=5.3245 b=5.3245 c=5.3245 alpha=90.00 beta=90.00 gamma=90.00
Closest atoms and distances in Å follow each position.
Fractional positions:
I 0.5000 0.5000 0.5000  12 Ga 3.77
Mg 0.0000 0.0000 0.0000  6 Ga 2.66
Ga 0.0000 0.5000 0.0000  2 Mg 2.66
Ga 0.0000 0.0000 0.5000  2 Mg 2.66
Ga 0.5000 0.0000 0.0000  2 Mg 2.66

Calculated values
* crystal system: cubic
* formation energy (no corrections): 1.15 eV per formula unit
* mass density: 3.96 g cm⁻³
* E: -2.214 eV/atom
* size of the total moment: 0.00 μB per atom
* offset from the most stable computed form: 0 meV/atom

=====

[10]
The following is a DFT calculation (PBE-GGA) of a relaxed MgGa2I4 crystal.

Unit cell a=5.8609 b=5.8609 c=8.9497 alpha=109.11 beta=109.11 gamma=90.00
Closest atoms and distances in Å follow each position.
Fractional positions:
I 0.8193 0.8193 0.6387  1 Mg 2.87, 1 Ga 3.02
I 0.1807 0.1807 0.3613  1 Mg 2.87, 1 Ga 3.02
I 0.0000 0.5000 0.0000  2 Mg 2.93
I 0.5000 0.0000 0.0000  2 Mg 2.93
Mg 0.0000 0.0000 0.0000  6 I 2.87-2.93
Ga 0.6290 0.6290 0.2581  1 I 3.02
Ga 0.3710 0.3710 0.7419  1 I 3.02

Calculated values
* crystal system: tetragonal
* formation energy (no corrections): -3.59 eV per formula unit
* mass density: 4.09 g cm⁻³
* E: -2.491 eV/atom
* size of the total moment: 0.00 μB per atom
* offset from the most stable computed form: 101 meV/atom

=====

[11]
The following is a DFT calculation (PBE-GGA) of a relaxed MgGa4I6 crystal.

Unit cell a=8.6293 b=8.5133 c=15.7724 alpha=68.67 beta=74.03 gamma=59.64
Closest atoms and distances in Å follow each position.
Fractional positions:
Mg 0.7016 0.7854 0.4051  4 I 2.73-2.76
Mg 0.1082 0.2866 0.9053  4 I 2.73-2.76
Ga 0.3109 0.9776 0.6105  3 I 3.11-3.20
Ga 0.1009 0.4773 0.1108  3 I 3.10-3.20
Ga 0.8386 0.2966 0.4294  3 I 3.11-3.24
Ga 0.4340 0.7972 0.9298  3 I 3.11-3.25
Ga 0.9060 0.6462 0.6803  5 I 3.15-3.48
Ga 0.7676 0.1476 0.1790  5 I 3.16-3.49
Ga 0.6486 0.1887 0.8166  3 I 3.08-3.38
Ga 0.3451 0.6873 0.3179  3 I 3.07-3.40
I 0.4182 0.5343 0.1266  3 Ga 3.10-3.16
I 0.9205 0.0335 0.6260  3 Ga 3.11-3.15
I 0.4483 0.6625 0.5058  1 Mg 2.75
I 0.3837 0.1632 0.0055  1 Mg 2.75
I 0.5745 0.1538 0.4042  1 Mg 2.75
I 0.8670 0.6545 0.9041  1 Mg 2.74
I 0.9439 0.0568 0.9719  1 Mg 2.73
I 0.0277 0.5568 0.4722  1 Mg 2.73
I 0.1054 0.1175 0.2711  3 Ga 3.07-3.17
I 0.5050 0.6192 0.7707  3 Ga 3.08-3.17
I 0.2889 0.2646 0.7329  1 Mg 2.76
I 0.7151 0.7650 0.2327  1 Mg 2.76

Calculated values
* crystal system: triclinic
* formation energy (no corrections): -5.29 eV per formula unit
* mass density: 3.82 g cm⁻³
* E: -2.572 eV/atom
* size of the total moment: 0.00 μB per atom

=====

[12]
The following is a DFT calculation (PBE-GGA) of a relaxed MgGaI3 crystal.

Unit cell a=5.7647 b=5.7647 c=5.7647 alpha=90.00 beta=90.00 gamma=90.00
Closest atoms and distances in Å follow each position.
Fractional positions:
I 0.0000 0.5000 0.0000  2 Mg 2.88
I 0.0000 0.0000 0.5000  2 Mg 2.88
I 0.5000 0.0000 0.0000  2 Mg 2.88
Mg 0.0000 0.0000 0.0000  6 I 2.88
Ga 0.5000 0.5000 0.5000  12 I 4.08

Calculated values
* crystal system: cubic
* formation energy (no corrections): -2.82 eV per formula unit
* mass density: 4.12 g cm⁻³
* E: -2.419 eV/atom
* size of the total moment: 0.00 μB per atom
* offset from the most stable computed form: 157 meV/atom